Density functional theory data (PBE+U) for a relaxed VPdO3 crystal.

Structure (POSCAR):
```
VPdO3
1.0
3.9391 0.0000 0.0000
0.0000 3.9391 0.0000
0.0000 0.0000 3.9391
V Pd O
1 1 3
direct
0.0000 0.0000 0.0000
0.5000 0.5000 0.5000
0.0000 0.5000 0.5000
0.5000 0.0000 0.5000
0.5000 0.5000 0.0000
```

Output
size of the total moment	2.3	μB per cell
space-group type	No. 221
DOS(E_F)	2.8	states/eV per cell
calculated total energy	-5.5877	eV per atom